Record 1
The following is a DFT calculation (GGA-PBE) of crystalline Y2MoAu at its relaxed geometry.

a b c (Å): 3.5238 3.5238 26.5610
angles (deg): 90.00 90.00 120.00
Last column: nearest neighbours and their distance in Å.
Positions (direct):
Y1 0.0000 0.0000 0.2459  3 Mo 2.93, 3 Au 3.09
Y2 0.0000 0.0000 0.7541  3 Mo 2.93, 3 Au 3.09
Y3 0.3333 0.6667 0.4207  3 Mo 2.93, 3 Au 3.09
Y4 0.3333 0.6667 0.9126  3 Mo 2.93, 3 Au 3.09
Y5 0.6667 0.3333 0.0874  3 Mo 2.93, 3 Au 3.09
Y6 0.6667 0.3333 0.5793  3 Mo 2.93, 3 Au 3.09
Mo1 0.0000 0.0000 0.5000  6 Y 2.93
Mo2 0.3333 0.6667 0.1667  6 Y 2.93
Mo3 0.6667 0.3333 0.8333  6 Y 2.93
Au1 0.0000 0.0000 0.0000  6 Y 3.09
Au2 0.3333 0.6667 0.6667  6 Y 3.09
Au3 0.6667 0.3333 0.3333  6 Y 3.09

- formation energy (eV per formula unit) = 0.43
- SG = R-3m (166)
- E above lowest polymorph (kJ/mol of atoms) = 26.72

***

Record 2
The following is a DFT calculation (GGA-PBE) of crystalline YMo2Au at its relaxed geometry.

a b c (Å): 2.8443 2.8443 9.2278
angles (deg): 90.00 90.00 90.00
Last column: nearest neighbours and their distance in Å.
Positions (direct):
Y1 0.0000 0.0000 0.0000  4 Y 2.84
Mo1 0.5000 0.5000 0.2709  4 Mo 2.84, 4 Au 2.92
Mo2 0.5000 0.5000 0.7291  4 Mo 2.84, 4 Au 2.92
Au1 0.0000 0.0000 0.5000  4 Au 2.84, 8 Mo 2.92

- formation energy (eV per formula unit) = 1.64
- SG = P4/mmm (123)
- E above lowest polymorph (kJ/mol of atoms) = 39.17

***

Record 3
The following is a DFT calculation (GGA-PBE) of crystalline YMo2Au at its relaxed geometry.

a b c (Å): 3.9759 3.9759 4.7984
angles (deg): 90.00 90.00 90.00
Last column: nearest neighbours and their distance in Å.
Positions (direct):
Y1 0.0000 0.0000 0.0000  4 Au 2.81, 8 Mo 3.12
Mo1 0.0000 0.5000 0.5000  4 Mo 2.81, 4 Y 3.12, 4 Au 3.12
Mo2 0.5000 0.0000 0.5000  4 Mo 2.81, 4 Y 3.12, 4 Au 3.12
Au1 0.5000 0.5000 0.0000  4 Y 2.81, 8 Mo 3.12

- formation energy (eV per formula unit) = 0.81
- SG = P4/mmm (123)
- E above lowest polymorph (kJ/mol of atoms) = 19.25

***

Record 4
The following is a DFT calculation (GGA-PBE) of crystalline YMo2Au at its relaxed geometry.

a b c (Å): 3.2845 3.2845 7.2193
angles (deg): 90.00 90.00 90.00
Last column: nearest neighbours and their distance in Å.
Positions (direct):
Y1 0.0000 0.0000 0.0000  4 Au 3.09, 5 Mo 3.13-3.36, 4 Y 3.28
Mo1 0.0000 0.0000 0.5351  4 Mo 2.64, 4 Au 2.95
Mo2 0.5000 0.5000 0.7092  4 Mo 2.64
Au1 0.5000 0.5000 0.2833  5 Mo 2.95-3.08, 4 Y 3.09, 4 Au 3.28

- formation energy (eV per formula unit) = 0.02
- SG = P4mm (99)
- E above lowest polymorph (kJ/mol of atoms) = 0.00

***

Record 5
The following is a DFT calculation (GGA-PBE) of crystalline YMo2Au at its relaxed geometry.

a b c (Å): 6.6768 6.7138 4.7010
angles (deg): 90.00 134.63 90.00
Last column: nearest neighbours and their distance in Å.
Positions (direct):
Y1 0.0000 0.0000 0.0000  4 Mo 2.89-2.91, 4 Au 2.89-2.90
Y2 0.5000 0.5000 0.0000  4 Mo 2.89-2.91, 4 Au 2.89-2.90
Mo1 0.0000 0.5042 0.0000  4 Mo 2.87-2.93, 4 Au 2.90
Mo2 0.0000 0.7491 0.5000  4 Mo 2.87-2.93, 4 Y 2.89-2.91
Mo3 0.5000 0.0042 0.0000  4 Mo 2.87-2.93, 4 Au 2.90
Mo4 0.5000 0.2491 0.5000  4 Mo 2.87-2.93, 4 Y 2.89-2.91
Au1 0.0000 0.2511 0.5000  4 Y 2.89-2.90, 4 Mo 2.90
Au2 0.5000 0.7511 0.5000  4 Y 2.89-2.90, 4 Mo 2.90

- formation energy (eV per formula unit) = 0.78
- SG = C2 (5)
- E above lowest polymorph (kJ/mol of atoms) = 18.49

***

Record 6
The following is a DFT calculation (GGA-PBE) of crystalline Y2MoAu at its relaxed geometry.

a b c (Å): 7.0851 7.0851 7.0851
angles (deg): 90.00 90.00 90.00
Last column: nearest neighbours and their distance in Å.
Positions (direct):
Y1 0.2500 0.2500 0.2500  4 Mo 3.07, 4 Au 3.07
Y2 0.2500 0.2500 0.7500  4 Mo 3.07, 4 Au 3.07
Y3 0.2500 0.7500 0.2500  4 Mo 3.07, 4 Au 3.07
Y4 0.2500 0.7500 0.7500  4 Mo 3.07, 4 Au 3.07
Y5 0.7500 0.2500 0.2500  4 Mo 3.07, 4 Au 3.07
Y6 0.7500 0.2500 0.7500  4 Mo 3.07, 4 Au 3.07
Y7 0.7500 0.7500 0.2500  4 Mo 3.07, 4 Au 3.07
Y8 0.7500 0.7500 0.7500  4 Mo 3.07, 4 Au 3.07
Mo1 0.0000 0.0000 0.0000  8 Y 3.07
Mo2 0.0000 0.5000 0.5000  8 Y 3.07
Mo3 0.5000 0.0000 0.5000  8 Y 3.07
Mo4 0.5000 0.5000 0.0000  8 Y 3.07
Au1 0.0000 0.0000 0.5000  8 Y 3.07
Au2 0.0000 0.5000 0.0000  8 Y 3.07
Au3 0.5000 0.0000 0.0000  8 Y 3.07
Au4 0.5000 0.5000 0.5000  8 Y 3.07

- formation energy (eV per formula unit) = -0.24
- SG = Fm-3m (225)
- E above lowest polymorph (kJ/mol of atoms) = 10.73

***

Record 7
The following is a DFT calculation (GGA-PBE) of crystalline YMo2Au at its relaxed geometry.

a b c (Å): 5.7024 9.3545 2.8065
angles (deg): 90.00 90.00 90.00
Last column: nearest neighbours and their distance in Å.
Positions (direct):
Y1 0.0000 0.0000 0.0000  2 Y 2.81, 2 Au 2.85, 8 Mo 3.08
Y2 0.5000 0.5000 0.0000  2 Y 2.81, 2 Au 2.85, 8 Mo 3.08
Mo1 0.2500 0.2500 0.5000  4 Mo 2.81-2.85, 4 Y 3.08, 4 Au 3.08
Mo2 0.2500 0.7500 0.5000  4 Mo 2.81-2.85, 4 Y 3.08, 4 Au 3.08
Mo3 0.7500 0.2500 0.5000  4 Mo 2.81-2.85, 4 Y 3.08, 4 Au 3.08
Mo4 0.7500 0.7500 0.5000  4 Mo 2.81-2.85, 4 Y 3.08, 4 Au 3.08
Au1 0.0000 0.5000 0.0000  2 Au 2.81, 2 Y 2.85, 8 Mo 3.08
Au2 0.5000 0.0000 0.0000  2 Au 2.81, 2 Y 2.85, 8 Mo 3.08

- formation energy (eV per formula unit) = 1.68
- SG = Cmmm (65)
- E above lowest polymorph (kJ/mol of atoms) = 40.18

***

Record 8
The following is a DFT calculation (GGA-PBE) of crystalline YMo2Au at its relaxed geometry.

a b c (Å): 3.0441 5.1662 4.9968
angles (deg): 90.00 93.97 90.00
Last column: nearest neighbours and their distance in Å.
Positions (direct):
Y1 0.0000 0.0000 0.0000  4 Au 2.83-3.01, 2 Y 3.04, 4 Mo 3.09
Mo1 0.3734 0.5000 0.7625  1 Mo 2.44
Mo2 0.6266 0.5000 0.2375  1 Mo 2.44
Au1 0.5000 0.0000 0.5000  4 Y 2.83-3.01, 4 Mo 2.93, 2 Au 3.04

- formation energy (eV per formula unit) = 1.08
- SG = P2/m (10)
- E above lowest polymorph (kJ/mol of atoms) = 25.63

***

Record 9
The following is a DFT calculation (GGA-PBE) of crystalline Zn2MoAu at its relaxed geometry.

a b c (Å): 6.3653 6.3653 6.3653
angles (deg): 90.00 90.00 90.00
Last column: nearest neighbours and their distance in Å.
Positions (direct):
Zn1 0.0000 0.0000 0.0000  4 Zn 2.76, 4 Au 2.76
Zn2 0.0000 0.5000 0.5000  4 Zn 2.76, 4 Au 2.76
Zn3 0.2500 0.2500 0.2500  4 Mo 2.76, 4 Zn 2.76
Zn4 0.2500 0.7500 0.7500  4 Mo 2.76, 4 Zn 2.76
Zn5 0.5000 0.0000 0.5000  4 Zn 2.76, 4 Au 2.76
Zn6 0.5000 0.5000 0.0000  4 Zn 2.76, 4 Au 2.76
Zn7 0.7500 0.2500 0.7500  4 Mo 2.76, 4 Zn 2.76
Zn8 0.7500 0.7500 0.2500  4 Mo 2.76, 4 Zn 2.76
Mo1 0.0000 0.0000 0.5000  4 Zn 2.76, 4 Au 2.76
Mo2 0.0000 0.5000 0.0000  4 Au 2.76, 4 Zn 2.76
Mo3 0.5000 0.0000 0.0000  4 Au 2.76, 4 Zn 2.76
Mo4 0.5000 0.5000 0.5000  4 Zn 2.76, 4 Au 2.76
Au1 0.2500 0.2500 0.7500  4 Mo 2.76, 4 Zn 2.76
Au2 0.2500 0.7500 0.2500  4 Mo 2.76, 4 Zn 2.76
Au3 0.7500 0.2500 0.2500  4 Mo 2.76, 4 Zn 2.76
Au4 0.7500 0.7500 0.7500  4 Mo 2.76, 4 Zn 2.76

- formation energy (eV per formula unit) = 1.08
- SG = F-43m (216)
- E above lowest polymorph (kJ/mol of atoms) = 27.10

***

Record 10
The following is a DFT calculation (GGA-PBE) of crystalline ZnMoAu3 at its relaxed geometry.

a b c (Å): 4.7774 4.7774 4.7774
angles (deg): 90.00 90.00 90.00
Last column: nearest neighbours and their distance in Å.
Positions (direct):
Zn1 0.0000 0.0000 0.0000  6 Au 2.39
Mo1 0.5000 0.5000 0.5000  12 Au 3.38
Au1 0.0000 0.0000 0.5000  2 Zn 2.39
Au2 0.0000 0.5000 0.0000  2 Zn 2.39
Au3 0.5000 0.0000 0.0000  2 Zn 2.39

- formation energy (eV per formula unit) = 4.57
- SG = Pm-3m (221)
- E above lowest polymorph (kJ/mol of atoms) = 0.00

***

Record 11
The following is a DFT calculation (GGA-PBE) of crystalline Zn2MoAu at its relaxed geometry.

a b c (Å): 2.7093 4.3165 5.4863
angles (deg): 90.00 104.24 90.00
Last column: nearest neighbours and their distance in Å.
Positions (direct):
Zn1 0.0000 0.0000 0.0000  4 Zn 2.59-2.71, 1 Au 2.68, 4 Mo 2.76
Zn2 0.1386 0.5000 0.2708  4 Zn 2.59-2.71, 3 Mo 2.81-2.85, 4 Au 2.82
Mo1 0.4005 0.5000 0.7995  2 Mo 2.71, 7 Zn 2.76-2.85, 4 Au 3.01-3.02
Au1 0.7515 0.0000 0.4962  7 Zn 2.68-2.97, 2 Au 2.71

- formation energy (eV per formula unit) = 0.42
- SG = Pm (6)
- E above lowest polymorph (kJ/mol of atoms) = 11.07

***

Record 12
The following is a DFT calculation (GGA-PBE) of crystalline ZnMoAu4 at its relaxed geometry.

a b c (Å): 5.4570 5.4570 5.4570
angles (deg): 60.00 60.00 60.00
Last column: nearest neighbours and their distance in Å.
Positions (direct):
Zn1 0.0000 0.0000 0.0000  12 Au 3.20, 4 Mo 3.34
Mo1 0.2500 0.2500 0.2500  12 Au 3.20, 4 Zn 3.34
Au1 0.1249 0.6250 0.6250  6 Au 2.73
Au2 0.6250 0.1249 0.6250  6 Au 2.73
Au3 0.6250 0.6250 0.1249  6 Au 2.73
Au4 0.6250 0.6250 0.6250  6 Au 2.73

- formation energy (eV per formula unit) = 2.89
- SG = F-43m (216)

***

Record 13
The following is a DFT calculation (GGA-PBE) of crystalline Zn2MoAu at its relaxed geometry.

a b c (Å): 5.8266 8.1860 2.6452
angles (deg): 90.00 90.49 90.00
Last column: nearest neighbours and their distance in Å.
Positions (direct):
Zn1 0.2500 0.2500 0.0000  4 Zn 2.65-2.91, 4 Mo 2.83-2.84, 4 Au 2.83-2.84
Zn2 0.2500 0.7500 0.0000  4 Zn 2.65-2.91, 4 Mo 2.83-2.84, 4 Au 2.83-2.84
Zn3 0.7500 0.2500 0.0000  4 Zn 2.65-2.91, 4 Au 2.83-2.84, 4 Mo 2.83-2.84
Zn4 0.7500 0.7500 0.0000  4 Zn 2.65-2.91, 4 Mo 2.83-2.84, 4 Au 2.83-2.84
Mo1 0.0000 0.0000 0.5000  2 Mo 2.65, 8 Zn 2.83-2.84, 2 Au 2.91
Mo2 0.5000 0.5000 0.5000  2 Mo 2.65, 8 Zn 2.83-2.84, 2 Au 2.91
Au1 0.0000 0.5000 0.5000  2 Au 2.65, 8 Zn 2.83-2.84, 2 Mo 2.91
Au2 0.5000 0.0000 0.5000  2 Au 2.65, 8 Zn 2.83-2.84, 2 Mo 2.91

- formation energy (eV per formula unit) = 0.32
- SG = C2/m (12)
- E above lowest polymorph (kJ/mol of atoms) = 8.69

***

Record 14
The following is a DFT calculation (GGA-PBE) of crystalline ZnMo3Au at its relaxed geometry.

a b c (Å): 4.8565 4.8565 4.8565
angles (deg): 90.00 90.00 90.00
Last column: nearest neighbours and their distance in Å.
Positions (direct):
Zn1 0.0000 0.0000 0.0000  12 Mo 3.43
Mo1 0.0000 0.5000 0.5000  2 Au 2.43
Mo2 0.5000 0.0000 0.5000  2 Au 2.43
Mo3 0.5000 0.5000 0.0000  2 Au 2.43
Au1 0.5000 0.5000 0.5000  6 Mo 2.43

- formation energy (eV per formula unit) = 11.30
- SG = Pm-3m (221)
- E above lowest polymorph (kJ/mol of atoms) = 65.67

***

Record 15
The following is a DFT calculation (GGA-PBE) of crystalline Zn4MoAu2 at its relaxed geometry.

a b c (Å): 4.9350 4.9350 12.8729
angles (deg): 90.00 90.00 90.00
Last column: nearest neighbours and their distance in Å.
Positions (direct):
Zn1 0.0000 0.0000 0.2008  1 Au 2.49, 1 Mo 2.58
Zn2 0.0000 0.0000 0.7992  1 Au 2.49, 1 Mo 2.58
Zn3 0.0000 0.5000 0.0000  2 Mo 2.47
Zn4 0.0000 0.5000 0.5000  2 Mo 2.47
Zn5 0.5000 0.0000 0.0000  2 Mo 2.47
Zn6 0.5000 0.0000 0.5000  2 Mo 2.47
Zn7 0.5000 0.5000 0.2992  1 Au 2.49, 1 Mo 2.58
Zn8 0.5000 0.5000 0.7008  1 Au 2.49, 1 Mo 2.58
Mo1 0.0000 0.0000 0.0000  6 Zn 2.47-2.58
Mo2 0.5000 0.5000 0.5000  6 Zn 2.47-2.58
Au1 0.0000 0.0000 0.3942  1 Zn 2.49, 1 Au 2.72
Au2 0.0000 0.0000 0.6058  1 Zn 2.49, 1 Au 2.72
Au3 0.5000 0.5000 0.1058  1 Zn 2.49, 1 Au 2.72
Au4 0.5000 0.5000 0.8942  1 Zn 2.49, 1 Au 2.72

- formation energy (eV per formula unit) = 4.27
- SG = I4/mmm (139)